Density functional theory data (PBE-GGA) for a geometry-optimized HoPaSb2N structure.

Values from the calculation:
Calculated total energy, eV per atom: -7.16
Calculated volume, Å³/f.u.: 119.3
Formation energy (no corrections), meV per atom: -1028

a b c (Å): 4.1034 4.1034 14.1656
angles (deg): 90.00 90.00 90.00
With the nearest neighbours (Å) after each atom.
Positions (direct):
Ho 0.2500 0.2500 0.0867  6 Sb 3.00-3.21
Ho 0.7500 0.7500 0.9133  6 Sb 3.00-3.21
Pa 0.2500 0.2500 0.5780  4 N 2.33
Pa 0.7500 0.7500 0.4220  4 N 2.33
Sb 0.2500 0.2500 0.3032  1 Ho 3.07, 4 Pa 3.35
Sb 0.2500 0.2500 0.8604  5 Ho 3.00-3.21
Sb 0.7500 0.7500 0.1396  5 Ho 3.00-3.21
Sb 0.7500 0.7500 0.6968  1 Ho 3.07, 4 Pa 3.35
N 0.2500 0.7500 0.5000  4 Pa 2.33
N 0.7500 0.2500 0.5000  4 Pa 2.33